Entry 1:
The following is a PBE calculation of crystalline In2ReSb at its relaxed geometry, from the Alexandria database.

Calculated values
Mass density = 9.6 g/cm³
Formation energy from raw total energies = 0.5077 eV/atom

Cell: 3.139 3.139 10.467 Å, 90.00 90.00 115.71°
Fractional positions:
In (0.000, 0.000, 0.000)
In (0.500, 0.500, 0.268)
Re (0.500, 0.500, 0.783)
Sb (0.000, 0.000, 0.585)

Entry 2:
The following is a PBE calculation of crystalline Tl2ZnRh at its relaxed geometry, from the Alexandria database.

Calculated values
Mass density = 12.1 g/cm³
ΔE_f = 0.23 eV/atom

Cell: 5.161 5.161 5.161 Å, 130.00 129.83 73.54°
Fractional positions:
Tl (0.250, 0.250, 0.000)
Tl (0.750, 0.750, 0.000)
Zn (0.500, 0.000, 0.500)
Rh (0.000, 0.500, 0.500)

Entry 3:
The following is a PBE calculation of crystalline SmY3Co at its relaxed geometry, from the Alexandria database.

Calculated values
Mass density = 5.5 g/cm³
ΔE_f = -0.09 eV/atom

Cell: 7.174 7.174 8.203 Å, 124.36 124.36 71.27°
Fractional positions:
Sm (0.046, 0.046, 0.336)
Sm (0.954, 0.954, 0.664)
Y (0.047, 0.453, 0.205)
Y (0.452, 0.452, 0.747)
Y (0.453, 0.047, 0.205)
Y (0.547, 0.953, 0.795)
Y (0.548, 0.548, 0.253)
Y (0.953, 0.547, 0.795)
Co (0.250, 0.250, 0.882)
Co (0.750, 0.750, 0.118)

Entry 4:
The following is a PBE calculation of crystalline AlCr2Fe at its relaxed geometry, from the Alexandria database.

Calculated values
Mass density = 6.4 g/cm³
ΔE_f = -0.05 eV/atom

Cell: 4.702 4.702 4.702 Å, 143.50 127.62 65.53°
Fractional positions:
Al (0.000, 0.000, 0.000)
Cr (0.500, 0.500, 0.000)
Cr (0.730, 0.230, 0.500)
Fe (0.258, 0.758, 0.500)

Entry 5:
The following is a PBE calculation of crystalline Tb3Y4Th at its relaxed geometry, from the Alexandria database.

Calculated values
Mass density = 6.6 g/cm³
ΔE_f = 0.44 eV/atom

Cell: 8.898 8.898 3.387 Å, 90.00 90.00 96.84°
Fractional positions:
Tb (0.000, 0.000, 0.000)
Tb (0.000, 0.500, 0.500)
Tb (0.500, 0.000, 0.500)
Y (0.250, 0.750, 0.000)
Y (0.257, 0.257, 0.500)
Y (0.743, 0.743, 0.500)
Y (0.750, 0.250, 0.000)
Th (0.500, 0.500, 0.000)

Entry 6:
The following is a PBE calculation of crystalline KRuCl2 at its relaxed geometry, from the Alexandria database.

Calculated values
Mass density = 4.0 g/cm³
Formation energy from raw total energies = -0.2144 eV/atom

Cell: 5.113 5.113 3.350 Å, 90.28 90.28 89.97°
Fractional positions:
K (0.000, 0.000, 0.000)
Ru (0.500, 0.500, 0.000)
Cl (0.000, 0.500, 0.500)
Cl (0.500, 0.000, 0.500)

| no. | electronic total energy (Ha/atom) |
| --- | --- |
| 1 | -0.1839 |
| 2 | -0.1142 |
| 3 | -0.2328 |
| 4 | -0.2907 |
| 5 | -0.2006 |
| 6 | -0.1371 |